Computed, not measured: a relaxed structure of BeCoTeO at the PBE+U level of DFT.

a = 5.7023 Å, b = 9.0564 Å, c = 4.9180 Å
α = 90.00°, β = 90.00°, γ = 90.00°
Closest atoms and distances in Å follow each position.
Atoms (fractional coordinates):
Be: 0.2376 0.1491 0.0000  2 O 1.57
Be: 0.2624 0.1491 0.5000  2 O 1.57
Be: 0.7376 0.8509 0.0000  2 O 1.57
Be: 0.7624 0.8509 0.5000  2 O 1.57
Co: 0.1850 0.8605 0.8600  2 O 2.09-2.13
Co: 0.3150 0.8605 0.3600  2 O 2.09-2.13
Co: 0.6850 0.1395 0.8600  2 O 2.09-2.13
Co: 0.8150 0.1395 0.3600  2 O 2.09-2.13
Te: 0.0132 0.6613 0.2358  2 Co 2.57-2.76, 2 Be 2.58-2.60
Te: 0.4868 0.6613 0.7358  2 Co 2.57-2.76, 2 Be 2.58-2.60
Te: 0.5132 0.3387 0.2358  2 Co 2.57-2.76, 2 Be 2.58-2.60
Te: 0.9868 0.3387 0.7358  2 Co 2.57-2.76, 2 Be 2.58-2.60
O: 0.1494 0.0634 0.2567  2 Be 1.57
O: 0.3506 0.0634 0.7567  2 Be 1.57
O: 0.6494 0.9366 0.2567  2 Be 1.57
O: 0.8506 0.9366 0.7567  2 Be 1.57

Summary:
- final energy (eV per cell) = -80.93
- total magnetic moment (μB/f.u.) = 2.1
- relative energy among the computed polymorphs (meV per atom) = 115

Computed, not measured: a relaxed structure of BeCoTeO at the PBE+U level of DFT.

a = 6.3513 Å, b = 7.0455 Å, c = 5.8194 Å
α = 90.00°, β = 90.00°, γ = 90.00°
Closest atoms and distances in Å follow each position.
Atoms (fractional coordinates):
Be: 0.0402 0.2500 0.0000  2 O 1.55
Be: 0.0402 0.2500 0.5000  2 O 1.55
Be: 0.9598 0.7500 0.0000  2 O 1.55
Be: 0.9598 0.7500 0.5000  2 O 1.55
Co: 0.2598 0.5230 0.2500  1 O 2.00
Co: 0.2598 0.9770 0.7500  1 O 2.00
Co: 0.7402 0.0230 0.2500  1 O 2.00
Co: 0.7402 0.4770 0.7500  1 O 2.00
Te: 0.4419 0.2500 0.0000  1 Be 2.55, 2 Co 2.67
Te: 0.4419 0.2500 0.5000  1 Be 2.55, 2 Co 2.67
Te: 0.5581 0.7500 0.0000  1 Be 2.55, 2 Co 2.67
Te: 0.5581 0.7500 0.5000  1 Be 2.55, 2 Co 2.67
O: 0.0364 0.7236 0.2500  2 Be 1.55
O: 0.0364 0.7764 0.7500  2 Be 1.55
O: 0.9636 0.2236 0.2500  2 Be 1.55
O: 0.9636 0.2764 0.7500  2 Be 1.55

Summary:
- final energy (eV per cell) = -79.61
- total magnetic moment (μB/f.u.) = 1.9
- relative energy among the computed polymorphs (meV per atom) = 197

Computed, not measured: a relaxed structure of BeCoTeO at the PBE+U level of DFT.

a = 5.0655 Å, b = 5.0655 Å, c = 5.5600 Å
α = 90.00°, β = 90.00°, γ = 90.00°
Closest atoms and distances in Å follow each position.
Atoms (fractional coordinates):
Be: 0.2500 0.2500 0.2058  1 O 1.43
Be: 0.7500 0.7500 0.7942  1 O 1.43
Co: 0.2500 0.2500 0.7804  1 O 1.77
Co: 0.7500 0.7500 0.2196  1 O 1.77
Te: 0.2500 0.7500 0.0000  4 Be 2.78, 4 Co 2.81
Te: 0.7500 0.2500 0.0000  4 Be 2.78, 4 Co 2.81
O: 0.2500 0.2500 0.4626  1 Be 1.43
O: 0.7500 0.7500 0.5374  1 Be 1.43

Summary:
- final energy (eV per cell) = -37.24
- total magnetic moment (μB/f.u.) = 2.9
- relative energy among the computed polymorphs (meV per atom) = 518

Computed, not measured: a relaxed structure of BeCoTeO at the PBE+U level of DFT.

a = 6.9390 Å, b = 6.7769 Å, c = 6.2387 Å
α = 90.00°, β = 90.00°, γ = 90.00°
Closest atoms and distances in Å follow each position.
Atoms (fractional coordinates):
Be: 0.0596 0.2399 0.0000  1 O 1.47
Be: 0.4404 0.2399 0.5000  1 O 1.47
Be: 0.5596 0.7601 0.0000  1 O 1.47
Be: 0.9404 0.7601 0.5000  1 O 1.47
Co: 0.1862 0.6594 0.1356  2 O 1.95-1.98
Co: 0.3138 0.6594 0.6356  2 O 1.95-1.98
Co: 0.6862 0.3406 0.1356  2 O 1.95-1.98
Co: 0.8138 0.3406 0.6356  2 O 1.95-1.98
Te: 0.1188 0.2887 0.3700  2 Be 2.37-2.40
Te: 0.3812 0.2887 0.8700  2 Be 2.37-2.40
Te: 0.6188 0.7113 0.3700  2 Be 2.37-2.40
Te: 0.8812 0.7113 0.8700  2 Be 2.37-2.40
O: 0.1386 0.7734 0.4172  1 Be 1.47
O: 0.3614 0.7734 0.9172  1 Be 1.47
O: 0.6386 0.2266 0.4172  1 Be 1.47
O: 0.8614 0.2266 0.9172  1 Be 1.47

Summary:
- final energy (eV per cell) = -78.04
- total magnetic moment (μB/f.u.) = 3.0
- relative energy among the computed polymorphs (meV per atom) = 296

Computed, not measured: a relaxed structure of BeCoTeO at the PBE+U level of DFT.

a = 4.9296 Å, b = 7.3282 Å, c = 8.0870 Å
α = 90.00°, β = 90.00°, γ = 90.00°
Closest atoms and distances in Å follow each position.
Atoms (fractional coordinates):
Be: 0.0394 0.2114 0.0655  2 O 1.51-1.53
Be: 0.4606 0.7886 0.5655  2 O 1.51-1.53
Be: 0.5394 0.2886 0.9345  2 O 1.51-1.53
Be: 0.9606 0.7114 0.4345  2 O 1.51-1.53
Co: 0.0457 0.5426 0.8945  1 O 1.95
Co: 0.4543 0.4574 0.3945  1 O 1.95
Co: 0.5457 0.9574 0.1055  1 O 1.95
Co: 0.9543 0.0426 0.6055  1 O 1.95
Te: 0.2463 0.1329 0.3347  1 Be 2.47, 3 Co 2.63-2.70
Te: 0.2537 0.8671 0.8347  1 Be 2.47, 3 Co 2.63-2.70
Te: 0.7463 0.3671 0.6653  1 Be 2.47, 3 Co 2.63-2.70
Te: 0.7537 0.6329 0.1653  1 Be 2.47, 3 Co 2.63-2.70
O: 0.2437 0.3282 0.9698  2 Be 1.51-1.53
O: 0.2563 0.6718 0.4698  2 Be 1.51-1.53
O: 0.7437 0.1718 0.0302  2 Be 1.51-1.53
O: 0.7563 0.8282 0.5302  2 Be 1.51-1.53

Summary:
- final energy (eV per cell) = -82.77
- total magnetic moment (μB/f.u.) = 3.0
- relative energy among the computed polymorphs (meV per atom) = 0

Computed, not measured: a relaxed structure of BeCoTeO at the PBE+U level of DFT.

a = 3.8158 Å, b = 3.8158 Å, c = 8.8898 Å
α = 90.00°, β = 90.00°, γ = 90.00°
Closest atoms and distances in Å follow each position.
Atoms (fractional coordinates):
Be: 0.2500 0.2500 0.1075  1 Te 2.42
Be: 0.7500 0.7500 0.8925  1 Te 2.42
Co: 0.2500 0.2500 0.4466  4 O 1.97
Co: 0.7500 0.7500 0.5534  4 O 1.97
Te: 0.2500 0.2500 0.8354  1 Be 2.42
Te: 0.7500 0.7500 0.1646  1 Be 2.42
O: 0.2500 0.7500 0.5000  4 Co 1.97
O: 0.7500 0.2500 0.5000  4 Co 1.97

Summary:
- final energy (eV per cell) = -35.89
- total magnetic moment (μB/f.u.) = 3.0
- relative energy among the computed polymorphs (meV per atom) = 687